1.
The following is a GGA-PBE calculation of crystalline KBePb2 at its relaxed geometry, from Alexandria.

```
data_KBePb2
_chemical_formula_sum 'K1 Be1 Pb2'
_cell_length_a 3.626
_cell_length_b 4.038
_cell_length_c 8.305
_cell_angle_alpha 90.00
_cell_angle_beta 90.00
_cell_angle_gamma 90.00
_symmetry_space_group_name_H-M 'P m m 2'
_symmetry_Int_Tables_number 25
loop_
_symmetry_equiv_pos_as_xyz
'x,y,z'
'-x,-y,z'
'-x,y,z'
'x,-y,z'
loop_
_atom_site_label
_atom_site_fract_x
_atom_site_fract_y
_atom_site_fract_z
K1 0.000 0.000 0.000
Be1 0.500 0.500 0.627
Pb1 0.000 0.000 0.587
Pb2 0.500 0.500 0.315
```

- Calculated formation energy: 0.316 eV/atom
- Crystal system: orthorhombic

2.
The following is a GGA-PBE calculation of crystalline KBePb2 at its relaxed geometry, from Alexandria.

```
data_KBePb2
_chemical_formula_sum 'K2 Be2 Pb4'
_cell_length_a 4.986
_cell_length_b 4.986
_cell_length_c 9.167
_cell_angle_alpha 90.00
_cell_angle_beta 90.00
_cell_angle_gamma 90.00
_symmetry_space_group_name_H-M 'I -4 m 2'
_symmetry_Int_Tables_number 119
_symmetry_space_group_name_Hall 'I -4 -2'
loop_
_atom_site_label
_atom_site_fract_x
_atom_site_fract_y
_atom_site_fract_z
K1 0.000 0.000 0.000
Be1 0.000 0.500 0.250
Pb1 0.000 0.000 0.500
Pb2 0.000 0.500 0.750
```

- Calculated formation energy: 0.496 eV/atom
- Crystal system: tetragonal

3.
The following is a GGA-PBE calculation of crystalline KBePb2 at its relaxed geometry, from Alexandria.

```
data_KBePb2
_chemical_formula_sum 'K2 Be2 Pb4'
_cell_length_a 4.021
_cell_length_b 4.043
_cell_length_c 15.472
_cell_angle_alpha 90.00
_cell_angle_beta 90.00
_cell_angle_gamma 90.00
_symmetry_space_group_name_H-M 'I m m 2'
_symmetry_Int_Tables_number 44
loop_
_symmetry_equiv_pos_as_xyz
'x,y,z'
'-x,-y,z'
'-x,y,z'
'x,-y,z'
'x+1/2,y+1/2,z+1/2'
'-x+1/2,-y+1/2,z+1/2'
'-x+1/2,y+1/2,z+1/2'
'x+1/2,-y+1/2,z+1/2'
loop_
_atom_site_label
_atom_site_fract_x
_atom_site_fract_y
_atom_site_fract_z
K1 0.000 0.000 0.000
Be1 0.000 0.500 0.255
Pb1 0.000 0.000 0.648
Pb2 0.000 0.500 0.804
```

- Calculated formation energy: 0.268 eV/atom
- Crystal system: orthorhombic

4.
The following is a GGA-PBE calculation of crystalline KBePb at its relaxed geometry, from Alexandria.

```
data_KBePb
_chemical_formula_sum 'K4 Be4 Pb4'
_cell_length_a 4.728
_cell_length_b 6.177
_cell_length_c 12.672
_cell_angle_alpha 90.00
_cell_angle_beta 90.00
_cell_angle_gamma 90.00
_symmetry_space_group_name_H-M 'F m m 2'
_symmetry_Int_Tables_number 42
_symmetry_space_group_name_Hall 'F 2 -2'
loop_
_atom_site_label
_atom_site_fract_x
_atom_site_fract_y
_atom_site_fract_z
K1 0.000 0.000 0.000
Be1 0.000 0.000 0.274
Pb1 0.000 0.000 0.721
```

- ΔE to the lowest computed polymorph: 0.155 eV per atom
- Calculated formation energy: 0.448 eV/atom
- Crystal system: orthorhombic

5.
The following is a GGA-PBE calculation of crystalline KBePb3 at its relaxed geometry, from Alexandria.

```
data_KBePb3
_chemical_formula_sum 'K1 Be1 Pb3'
_cell_length_a 5.330
_cell_length_b 5.330
_cell_length_c 5.330
_cell_angle_alpha 90.00
_cell_angle_beta 90.00
_cell_angle_gamma 90.00
_symmetry_space_group_name_H-M 'P m -3 m'
_symmetry_Int_Tables_number 221
_symmetry_space_group_name_Hall '-P 4 2 3'
loop_
_atom_site_label
_atom_site_fract_x
_atom_site_fract_y
_atom_site_fract_z
K1 0.000 0.000 0.000
Be1 0.500 0.500 0.500
Pb1 0.000 0.500 0.500
```

- ΔE to the lowest computed polymorph: 0.000 eV per atom
- Calculated formation energy: 0.212 eV/atom
- Crystal system: cubic

6.
The following is a GGA-PBE calculation of crystalline KBePb at its relaxed geometry, from Alexandria.

```
data_KBePb
_chemical_formula_sum 'K4 Be4 Pb4'
_cell_length_a 7.262
_cell_length_b 7.262
_cell_length_c 7.262
_cell_angle_alpha 90.00
_cell_angle_beta 90.00
_cell_angle_gamma 90.00
_symmetry_space_group_name_H-M 'F -4 3 m'
_symmetry_Int_Tables_number 216
_symmetry_space_group_name_Hall 'F -4 2 3'
loop_
_atom_site_label
_atom_site_fract_x
_atom_site_fract_y
_atom_site_fract_z
K1 0.000 0.000 0.000
Be1 0.000 0.000 0.500
Pb1 0.250 0.250 0.750
```

- ΔE to the lowest computed polymorph: 0.494 eV per atom
- Calculated formation energy: 0.787 eV/atom
- Crystal system: cubic

7.
The following is a GGA-PBE calculation of crystalline KBePb2 at its relaxed geometry, from Alexandria.

```
data_KBePb2
_chemical_formula_sum 'K4 Be4 Pb8'
_cell_length_a 6.191
_cell_length_b 6.191
_cell_length_c 15.851
_cell_angle_alpha 90.00
_cell_angle_beta 90.00
_cell_angle_gamma 90.00
_symmetry_space_group_name_H-M 'I 41/a m d'
_symmetry_Int_Tables_number 141
loop_
_symmetry_equiv_pos_as_xyz
'x,y,z'
'-x,-y,-z'
'-y+1/4,x+3/4,z+1/4'
'y+1/4,-x+3/4,-z+1/4'
'-x+1/2,-y,z+1/2'
'x+1/2,y,-z+1/2'
'y+1/4,-x+1/4,z+3/4'
'-y+1/4,x+1/4,-z+3/4'
'x,-y,-z'
'-x,y,z'
'-y+1/4,-x+1/4,-z+3/4'
'y+1/4,x+1/4,z+3/4'
'-x+1/2,y,-z+1/2'
'x+1/2,-y,z+1/2'
'y+1/4,x+3/4,-z+1/4'
'-y+1/4,-x+3/4,z+1/4'
'x+1/2,y+1/2,z+1/2'
'-x+1/2,-y+1/2,-z+1/2'
'-y+3/4,x+1/4,z+3/4'
'y+3/4,-x+1/4,-z+3/4'
'-x,-y+1/2,z'
'x,y+1/2,-z'
'y+3/4,-x+3/4,z+1/4'
'-y+3/4,x+3/4,-z+1/4'
'x+1/2,-y+1/2,-z+1/2'
'-x+1/2,y+1/2,z+1/2'
'-y+3/4,-x+3/4,-z+1/4'
'y+3/4,x+3/4,z+1/4'
'-x,y+1/2,-z'
'x,-y+1/2,z'
'y+3/4,x+1/4,-z+3/4'
'-y+3/4,-x+1/4,z+3/4'
loop_
_atom_site_label
_atom_site_fract_x
_atom_site_fract_y
_atom_site_fract_z
K1 0.000 0.250 0.375
Be1 0.000 0.250 0.875
Pb1 0.000 0.000 0.000
```

- Calculated formation energy: 0.346 eV/atom
- Crystal system: tetragonal

8.
The following is a GGA-PBE calculation of crystalline KBe4Pb at its relaxed geometry, from Alexandria.

```
data_KBe4Pb
_chemical_formula_sum 'K4 Be16 Pb4'
_cell_length_a 7.380
_cell_length_b 7.380
_cell_length_c 7.380
_cell_angle_alpha 90.00
_cell_angle_beta 90.00
_cell_angle_gamma 90.00
_symmetry_space_group_name_H-M 'F -4 3 m'
_symmetry_Int_Tables_number 216
_symmetry_space_group_name_Hall 'F -4 2 3'
loop_
_atom_site_label
_atom_site_fract_x
_atom_site_fract_y
_atom_site_fract_z
K1 0.000 0.000 0.000
Be1 0.133 0.133 0.367
Pb1 0.250 0.250 0.750
```

- Calculated formation energy: 0.814 eV/atom
- Crystal system: cubic

9.
The following is a GGA-PBE calculation of crystalline KBePb2 at its relaxed geometry, from Alexandria.

```
data_KBePb2
_chemical_formula_sum 'K1 Be1 Pb2'
_cell_length_a 4.866
_cell_length_b 4.866
_cell_length_c 4.737
_cell_angle_alpha 90.00
_cell_angle_beta 90.00
_cell_angle_gamma 90.00
_symmetry_space_group_name_H-M 'P 4/m m m'
_symmetry_Int_Tables_number 123
_symmetry_space_group_name_Hall '-P 4 2'
loop_
_atom_site_label
_atom_site_fract_x
_atom_site_fract_y
_atom_site_fract_z
K1 0.000 0.000 0.000
Be1 0.500 0.500 0.000
Pb1 0.000 0.500 0.500
```

- Calculated formation energy: 0.526 eV/atom
- Crystal system: tetragonal

10.
The following is a GGA-PBE calculation of crystalline KBePb3 at its relaxed geometry, from Alexandria.

```
data_KBePb3
_chemical_formula_sum 'K1 Be1 Pb3'
_cell_length_a 6.038
_cell_length_b 6.038
_cell_length_c 6.038
_cell_angle_alpha 90.00
_cell_angle_beta 90.00
_cell_angle_gamma 90.00
_symmetry_space_group_name_H-M 'P m -3 m'
_symmetry_Int_Tables_number 221
_symmetry_space_group_name_Hall '-P 4 2 3'
loop_
_atom_site_label
_atom_site_fract_x
_atom_site_fract_y
_atom_site_fract_z
K1 0.000 0.000 0.000
Be1 0.500 0.500 0.500
Pb1 0.000 0.000 0.500
```

- ΔE to the lowest computed polymorph: 1.275 eV per atom
- Calculated formation energy: 1.487 eV/atom
- Crystal system: cubic

11.
The following is a GGA-PBE calculation of crystalline KBePb at its relaxed geometry, from Alexandria.

```
data_KBePb
_chemical_formula_sum 'K4 Be4 Pb4'
_cell_length_a 7.502
_cell_length_b 7.502
_cell_length_c 7.502
_cell_angle_alpha 90.00
_cell_angle_beta 90.00
_cell_angle_gamma 90.00
_symmetry_space_group_name_H-M 'F -4 3 m'
_symmetry_Int_Tables_number 216
_symmetry_space_group_name_Hall 'F -4 2 3'
loop_
_atom_site_label
_atom_site_fract_x
_atom_site_fract_y
_atom_site_fract_z
K1 0.000 0.000 0.000
Be1 0.250 0.250 0.250
Pb1 0.250 0.250 0.750
```

- ΔE to the lowest computed polymorph: 0.932 eV per atom
- Calculated formation energy: 1.224 eV/atom
- Crystal system: cubic

12.
The following is a GGA-PBE calculation of crystalline KBePb2 at its relaxed geometry, from Alexandria.

```
data_KBePb2
_chemical_formula_sum 'K2 Be2 Pb4'
_cell_length_a 7.535
_cell_length_b 4.349
_cell_length_c 7.847
_cell_angle_alpha 90.00
_cell_angle_beta 108.53
_cell_angle_gamma 90.00
_symmetry_space_group_name_H-M 'C 1 2/m 1'
_symmetry_Int_Tables_number 12
loop_
_symmetry_equiv_pos_as_xyz
'x,y,z'
'-x,-y,-z'
'-x,y,-z'
'x,-y,z'
'x+1/2,y+1/2,z'
'-x+1/2,-y+1/2,-z'
'-x+1/2,y+1/2,-z'
'x+1/2,-y+1/2,z'
loop_
_atom_site_label
_atom_site_fract_x
_atom_site_fract_y
_atom_site_fract_z
K1 0.000 0.000 0.000
Be1 0.000 0.500 0.500
Pb1 0.215 0.000 0.647
```

- Calculated formation energy: 0.164 eV/atom
- Crystal system: monoclinic

13.
The following is a GGA-PBE calculation of crystalline KBePb at its relaxed geometry, from Alexandria.

```
data_KBePb
_chemical_formula_sum 'K4 Be4 Pb4'
_cell_length_a 7.010
_cell_length_b 7.010
_cell_length_c 7.010
_cell_angle_alpha 90.00
_cell_angle_beta 90.00
_cell_angle_gamma 90.00
_symmetry_space_group_name_H-M 'F -4 3 m'
_symmetry_Int_Tables_number 216
_symmetry_space_group_name_Hall 'F -4 2 3'
loop_
_atom_site_label
_atom_site_fract_x
_atom_site_fract_y
_atom_site_fract_z
K1 0.000 0.000 0.000
Be1 0.250 0.250 0.250
Pb1 0.000 0.000 0.500
```

- ΔE to the lowest computed polymorph: 0.296 eV per atom
- Calculated formation energy: 0.589 eV/atom
- Crystal system: cubic

14.
The following is a GGA-PBE calculation of crystalline KBePb at its relaxed geometry, from Alexandria.

```
data_KBePb
_chemical_formula_sum 'K2 Be2 Pb2'
_cell_length_a 3.496
_cell_length_b 4.040
_cell_length_c 12.567
_cell_angle_alpha 90.00
_cell_angle_beta 90.00
_cell_angle_gamma 90.00
_symmetry_space_group_name_H-M 'I m m 2'
_symmetry_Int_Tables_number 44
loop_
_symmetry_equiv_pos_as_xyz
'x,y,z'
'-x,-y,z'
'-x,y,z'
'x,-y,z'
'x+1/2,y+1/2,z+1/2'
'-x+1/2,-y+1/2,z+1/2'
'-x+1/2,y+1/2,z+1/2'
'x+1/2,-y+1/2,z+1/2'
loop_
_atom_site_label
_atom_site_fract_x
_atom_site_fract_y
_atom_site_fract_z
K1 0.000 0.000 0.000
Be1 0.000 0.000 0.730
Pb1 0.000 0.000 0.276
```

- ΔE to the lowest computed polymorph: 0.162 eV per atom
- Calculated formation energy: 0.454 eV/atom
- Crystal system: orthorhombic